(1)
The following is a DFT calculation (PBE) of a geometry-optimized U3SnPd4S12 structure.

The structure in CIF format:
```
data_U3SnPd4S12
_symmetry_space_group_name_H-M 'R 3 2'
_symmetry_Int_Tables_number 155
_symmetry_space_group_name_Hall 'R 3 2"'
_cell_length_a 13.3337
_cell_length_b 13.3337
_cell_length_c 9.6766
_cell_angle_alpha 90.00
_cell_angle_beta 90.00
_cell_angle_gamma 120.00
loop_
_atom_site_label
_atom_site_fract_x
_atom_site_fract_y
_atom_site_fract_z
U1 0.0000 0.5636 0.0000
Sn1 0.0000 0.0000 0.0000
Pd1 0.0000 0.0000 0.5000
Pd2 0.0000 0.4100 0.5000
S1 0.0000 0.5888 0.5000
S2 0.0000 0.8325 0.5000
S3 0.0604 0.2006 0.1766
```

**Total magnetic moment**: 0.0 Bohr magnetons per cell
**Raw formation energy**: -0.575 eV per atom

---

(2)
The following is a DFT calculation (PBE) of a geometry-optimized Sc2CdHPb structure.

The structure in CIF format:
```
data_Sc2CdHPb
_symmetry_space_group_name_H-M 'P 4/m m m'
_symmetry_Int_Tables_number 123
_symmetry_space_group_name_Hall '-P 4 2'
_cell_length_a 4.518
_cell_length_b 4.518
_cell_length_c 4.545
_cell_angle_alpha 90.00
_cell_angle_beta 90.00
_cell_angle_gamma 90.00
loop_
_atom_site_label
_atom_site_fract_x
_atom_site_fract_y
_atom_site_fract_z
Sc1 0.000 0.500 0.000
Cd1 0.000 0.000 0.500
H1 0.000 0.000 0.000
Pb1 0.500 0.500 0.500
```

**Total magnetic moment**: 1.3 Bohr magnetons per cell
**DFT total energy**: -21.954 eV per formula unit

---

(3)
The following is a DFT calculation (PBE) of a geometry-optimized Pm4Sm11Ho9 structure.

The structure in CIF format:
```
data_Pm4Sm11Ho9
_symmetry_space_group_name_H-M 'C m m m'
_symmetry_Int_Tables_number 65
_symmetry_space_group_name_Hall '-C 2 2'
_cell_length_a 16.873
_cell_length_b 25.443
_cell_length_c 3.698
_cell_angle_alpha 90.00
_cell_angle_beta 90.00
_cell_angle_gamma 90.00
loop_
_atom_site_label
_atom_site_fract_x
_atom_site_fract_y
_atom_site_fract_z
Pm1 0.155 0.101 0.000
Sm1 0.000 0.134 0.500
Sm2 0.000 0.341 0.500
Sm3 0.000 0.500 0.500
Sm4 0.210 0.000 0.500
Sm5 0.226 0.319 0.500
Ho1 0.000 0.000 0.000
Ho2 0.101 0.235 0.000
Ho3 0.139 0.427 0.000
```

**Total magnetic moment**: 0.0 Bohr magnetons per cell
**DFT formation energy**: 0.060 eV per atom